Material: RbV2PbCl8
Method: DFT, PBE-GGA
State: optimized geometry Values from VASP.

Quantum ESPRESSO input file:
```
&SYSTEM
  ibrav = 0, nat = 12, ntyp = 4
/
ATOMIC_SPECIES
Cl 35.45 Cl.upf
V 50.94 V.upf
Rb 85.47 Rb.upf
Pb 207.20 Pb.upf
ATOMIC_POSITIONS crystal
Cl 0.667 0.333 0.019
Cl 0.333 0.667 0.981
Cl 0.337 0.327 0.312
Cl 0.663 0.673 0.688
Cl 0.990 0.663 0.312
Cl 0.010 0.337 0.688
Cl 0.673 0.010 0.312
Cl 0.327 0.990 0.688
V 0.667 0.333 0.246
V 0.333 0.667 0.754
Rb 0.000 0.000 0.000
Pb 0.000 0.000 0.500
CELL_PARAMETERS angstrom
-3.320 5.644 -1.723
-1.655 -5.909 -2.863
-6.579 -1.661 7.233
```

Results
ΔE_f (raw)   -1202 meV/atom
V   393.74 Å³ per cell
Total moment   5.00 μB/f.u.
Theoretical density   2.86 g/cm3